## AgSnHg2 (GGA-PBE)

Data for a relaxed structure of AgSnHg2.

As for the total energy: -7.1 eV per formula unit.

The structure belongs to space group R3m (No. 160, hexagonal axes); the cell edges are 3.3113, 3.3113 and 30.0831 Å and the angles 90.00°, 90.00° and 120.00°. The distinct sites, in fractional coordinates, are Ag at (0.0000, 0.0000, 0.0000), Sn at (0.0000, 0.0000, 0.1662), Hg at (0.0000, 0.0000, 0.4092) and Hg at (0.0000, 0.0000, 0.5903).